# 1
DFT (PBE-GGA) results for an optimized crystal structure of Nd3YAg2.

The structure in POSCAR format:
```
Nd3YAg2
1.0
-3.228 -6.295 -0.133
0.896 -0.621 7.660
-5.170 6.685 -2.761
Y Ag Nd
2 4 6
direct
0.000 0.000 0.000
0.000 0.500 0.000
0.834 0.141 0.282
0.448 0.641 0.282
0.166 0.859 0.718
0.552 0.359 0.718
0.223 0.473 0.447
0.777 0.527 0.553
0.223 0.973 0.447
0.500 0.750 0.000
0.500 0.250 0.000
0.777 0.027 0.553
```

Summary:
DFT total energy: -4.354 eV/atom
distance to the lowest polymorph of the same formula: 1.32 eV/f.u.
ρ: 6.2 g cm⁻³
formation enthalpy at 0 K: 58 meV/atom

=====

# 2
DFT (PBE-GGA) results for an optimized crystal structure of Ti3NiPt.

The structure in POSCAR format:
```
Ti3NiPt
1.0
-2.238 0.960 -3.726
-3.730 -1.599 1.828
-0.944 4.042 1.609
Pt Ni Ti
1 1 3
direct
0.500 0.500 0.500
0.000 0.000 0.000
0.500 0.000 0.000
0.000 0.500 0.000
0.000 0.000 0.500
```

Summary:
DFT total energy: -6.952 eV/atom
distance to the lowest polymorph of the same formula: 1.76 eV/f.u.
ρ: 7.5 g cm⁻³
formation enthalpy at 0 K: 149 meV/atom

=====

# 3
DFT (PBE-GGA) results for an optimized crystal structure of Ac6Sb2Te3Se.

The structure in POSCAR format:
```
Ac6Sb2Te3Se
1.0
-0.621 -0.342 4.656
-8.290 -4.312 -1.422
7.088 -7.581 -1.995
Ac Se Te Sb
6 1 3 2
direct
0.659 0.084 0.319
0.331 0.422 0.663
0.341 0.916 0.681
0.000 0.767 0.999
0.669 0.578 0.337
0.000 0.233 0.001
0.500 0.000 0.000
0.831 0.166 0.661
0.500 0.500 0.000
0.169 0.834 0.339
0.165 0.331 0.330
0.835 0.669 0.670
```

Summary:
DFT total energy: -5.306 eV/atom
ΔE_f (raw): -1488.8 meV/atom
ρ: 7.7 g cm⁻³

=====

# 4
DFT (PBE-GGA) results for an optimized crystal structure of Ca2Mg2Zn.

The structure in POSCAR format:
```
Ca2Mg2Zn
1.0
2.505 -4.339 0.000
2.505 4.339 0.000
0.000 0.000 7.311
Mg Zn Ca
2 1 2
direct
0.667 0.333 0.383
0.333 0.667 0.617
0.000 0.000 0.000
0.333 0.667 0.151
0.667 0.333 0.849
```

Summary:
DFT total energy: -1.561 eV/atom
distance to the lowest polymorph of the same formula: 1.31 eV/f.u.
ρ: 2.0 g cm⁻³
formation enthalpy at 0 K: 132 meV/atom